Here is an optimized crystal structure of Al2GeB2 from Alexandria via LeMat-Bulk. Energies are from PBE-GGA.

It has space group P4/mbm (No. 127), with a = 6.722 Å, b = 6.722 Å, c = 2.677 Å, α = 90.00°, β = 90.00° and γ = 90.00°. The asymmetric unit holds Al at (0.137, 0.363, 0.000), Ge at (0.000, 0.000, 0.500) and B at (0.162, 0.662, 0.500).

Its size of the total moment is 0.0 μB/f.u. The value obtained for the total energy is -4.465 eV per atom. The formation energy is 0.63 eV per atom. Its density is 4069 kg/m3.



Here is an optimized crystal structure of Al2GeB2 from Alexandria via LeMat-Bulk. Energies are from PBE-GGA.

It has space group I4/mmm (No. 139), with a = 3.772 Å, b = 3.772 Å, c = 8.812 Å, α = 90.00°, β = 90.00° and γ = 90.00°. The asymmetric unit holds Al at (0.000, 0.500, 0.250), Ge at (0.000, 0.000, 0.000) and B at (0.000, 0.000, 0.402).

Its size of the total moment is 0.0 μB/f.u. The value obtained for the total energy is -4.761 eV per atom. The formation energy is 0.33 eV per atom. Its density is 3926 kg/m3.



Here is an optimized crystal structure of AlGeB2 from Alexandria via LeMat-Bulk. Energies are from PBE-GGA.

It has space group I-42d (No. 122), with a = 5.185 Å, b = 5.185 Å, c = 8.756 Å, α = 90.00°, β = 90.00° and γ = 90.00°. The asymmetric unit holds Al at (0.000, 0.000, 0.000), Ge at (0.000, 0.000, 0.500) and B at (0.231, 0.250, 0.625).

Its size of the total moment is 0.0 μB/f.u. The value obtained for the total energy is -4.669 eV per atom. The formation energy is 0.76 eV per atom. Its density is 3421 kg/m3.



Here is an optimized crystal structure of AlGe3B from Alexandria via LeMat-Bulk. Energies are from PBE-GGA.

It has space group Pm-3m (No. 221), with a = 4.835 Å, b = 4.835 Å, c = 4.835 Å, α = 90.00°, β = 90.00° and γ = 90.00°. The asymmetric unit holds Al at (0.000, 0.000, 0.000), Ge at (0.000, 0.000, 0.500) and B at (0.500, 0.500, 0.500).

Its size of the total moment is 0.0 μB/f.u. The value obtained for the total energy is -3.427 eV per atom. The formation energy is 1.43 eV per atom. Its density is 3756 kg/m3.



Here is an optimized crystal structure of Al2GeB from Alexandria via LeMat-Bulk. Energies are from PBE-GGA.

It has space group Fm-3m (No. 225), with a = 6.158 Å, b = 6.158 Å, c = 6.158 Å, α = 90.00°, β = 90.00° and γ = 90.00°. The asymmetric unit holds Al at (0.250, 0.250, 0.250), Ge at (0.000, 0.000, 0.000) and B at (0.000, 0.000, 0.500).

Its size of the total moment is 0.0 μB/f.u. The value obtained for the total energy is -3.979 eV per atom. The formation energy is 0.72 eV per atom. Its density is 3909 kg/m3.



Here is an optimized crystal structure of AlGeB2 from Alexandria via LeMat-Bulk. Energies are from PBE-GGA.

It has space group Fm-3m (No. 225), with a = 5.723 Å, b = 5.723 Å, c = 5.723 Å, α = 90.00°, β = 90.00° and γ = 90.00°. The asymmetric unit holds Al at (0.000, 0.000, 0.000), Ge at (0.000, 0.000, 0.500) and B at (0.250, 0.250, 0.250).

Its size of the total moment is 0.0 μB/f.u. The value obtained for the total energy is -4.265 eV per atom. The formation energy is 1.16 eV per atom. Its density is 4295 kg/m3.



Here is an optimized crystal structure of AlGeB from Alexandria via LeMat-Bulk. Energies are from PBE-GGA.

It has space group Cmcm (No. 63), with a = 3.292 Å, b = 10.693 Å, c = 4.950 Å, α = 90.00°, β = 90.00° and γ = 90.00°. The asymmetric unit holds Al at (0.000, 0.093, 0.250), Ge at (0.000, 0.173, 0.750) and B at (0.000, 0.456, 0.250).

Its size of the total moment is 0.0 μB/f.u. The value obtained for the total energy is -4.488 eV per atom. The formation energy is 0.52 eV per atom. Its density is 4210 kg/m3.



Here is an optimized crystal structure of AlGe3B from Alexandria via LeMat-Bulk. Energies are from PBE-GGA.

It has space group Pm-3m (No. 221), with a = 4.422 Å, b = 4.422 Å, c = 4.422 Å, α = 90.00°, β = 90.00° and γ = 90.00°. The asymmetric unit holds Al at (0.000, 0.000, 0.000), Ge at (0.000, 0.500, 0.500) and B at (0.500, 0.500, 0.500).

Its size of the total moment is 0.0 μB/f.u. The value obtained for the total energy is -4.198 eV per atom. The formation energy is 0.66 eV per atom. Its density is 4910 kg/m3.



- Which of these has the highest total energy?
  number 4



- What is the formula in the second record?
  Al2GeB2



- What is the formula in the sixth record?
  AlGeB2